Material: ErMg3Cu2
Method: DFT, PBE-GGA
State: relaxed

Structure (POSCAR):
```
ErMg3Cu2
1.0
7.4591 -1.8780 0.0000
7.4591 1.8780 0.0000
-5.7774 0.0000 8.9184
Er Mg Cu
2 6 4
Cartesian
0.8259 0.0000 2.0414
8.3149 0.0000 6.8770
-2.0530 0.0000 6.5392
5.8837 0.0000 0.7049
3.0979 0.0000 5.0265
6.0429 0.0000 3.8919
3.2571 0.0000 8.2134
11.1937 0.0000 2.3792
3.1103 0.0000 0.4195
0.1931 0.0000 4.9243
8.9476 0.0000 3.9941
6.0304 0.0000 8.4989
```

Computed properties:
* DFT formation energy: -0.093 eV/atom
* SG: C2/m, No. 12
* M_tot: 0.00 μB per formula unit



Material: Er2Mg3Cu2
Method: DFT, PBE-GGA
State: relaxed

Structure (POSCAR):
```
Er2Mg3Cu2
1.0
5.2144 -1.9360 0.0000
5.2144 1.9360 0.0000
-0.9084 0.0000 7.4969
Er Mg Cu
2 3 2
Cartesian
0.9798 0.0000 2.7298
8.5407 0.0000 4.7671
1.1726 0.0000 6.4260
5.2144 0.0000 0.0000
8.3479 0.0000 1.0710
4.0137 0.0000 2.7111
5.5068 0.0000 4.7859
```

Computed properties:
* DFT formation energy: -0.174 eV/atom
* SG: C2/m, No. 12
* M_tot: 0.00 μB per formula unit